Computed, not measured: crystalline Ca2Br at its relaxed geometry at the PBE level of DFT.

Structure (POSCAR):
```
Ca2Br
1.0
3.8447 0.0000 0.0000
0.0000 3.8463 0.0000
-0.0466 0.0000 7.5005
Ca Br
2 1
direct
0.0000 0.0000 0.0000
0.4953 0.5000 0.6302
0.9929 0.0000 0.4009
```

## Properties
D(E_F) = 0.83 states/eV per atom
volume = 36.972 Å³/atom
formation energy (no corrections) = -820 meV per atom
energy relative to the lowest polymorph listed for this composition = 75 meV per atom

***

Computed, not measured: crystalline KTa2Ru at its relaxed geometry at the PBE level of DFT.

Structure (POSCAR):
```
KTa2Ru
1.0
2.9413 0.0000 0.0000
0.0000 2.9413 0.0000
0.0000 0.0000 10.2364
K Ta Ru
1 2 1
direct
0.0000 0.0000 0.0000
0.5000 0.5000 0.3271
0.5000 0.5000 0.6729
0.0000 0.0000 0.5000
```

## Properties
D(E_F) = 0.78 states/eV per atom
volume = 22.140 Å³/atom
energy relative to the lowest polymorph listed for this composition = 83 meV per atom
energy relative to the elements = 0.570 eV per atom

***

Computed, not measured: crystalline LaAs2PRh at its relaxed geometry at the PBE level of DFT.

Structure (POSCAR):
```
LaAs2PRh
1.0
4.6649 0.0000 0.0000
0.0000 4.6649 0.0000
0.0000 0.0000 5.4555
La As P Rh
1 2 1 1
direct
0.0000 0.0000 0.0000
0.0000 0.5000 0.5000
0.5000 0.0000 0.5000
0.0000 0.0000 0.5000
0.5000 0.5000 0.0000
```

## Properties
D(E_F) = 0.97 states/eV per atom
volume = 23.744 Å³/atom
energy relative to the elements = 0.267 eV per atom

***

Computed, not measured: crystalline CsHfMnTe4 at its relaxed geometry at the PBE level of DFT.

Structure (POSCAR):
```
CsHfMnTe4
1.0
6.8887 0.0000 0.0000
0.0000 7.3173 0.0000
-1.1153 0.0000 9.9630
Cs Hf Mn Te
2 2 2 8
direct
0.2204 0.2500 0.0355
0.7796 0.7500 0.9645
0.1892 0.7500 0.4486
0.8108 0.2500 0.5514
0.3590 0.2500 0.6472
0.6410 0.7500 0.3528
0.0997 0.5093 0.6787
0.0997 0.9907 0.6787
0.3269 0.7500 0.1833
0.4247 0.2500 0.4019
0.5753 0.7500 0.5981
0.6731 0.2500 0.8167
0.9003 0.0093 0.3213
0.9003 0.4907 0.3213
```

## Properties
D(E_F) = 0.32 states/eV per atom
volume = 35.871 Å³/atom
formation energy (no corrections) = -576 meV per atom

***

Computed, not measured: crystalline BaSnF2 at its relaxed geometry at the PBE level of DFT.

Structure (POSCAR):
```
BaSnF2
1.0
0.0000 3.5340 3.5340
3.5340 0.0000 3.5340
3.5340 3.5340 0.0000
Ba Sn F
1 1 2
direct
0.0000 0.0000 0.0000
0.5000 0.5000 0.5000
0.2500 0.2500 0.2500
0.7500 0.7500 0.7500
```

## Properties
D(E_F) = 0.73 states/eV per atom
volume = 22.068 Å³/atom
formation energy (no corrections) = -1833 meV per atom
energy relative to the lowest polymorph listed for this composition = 602 meV per atom

***

Computed, not measured: crystalline Rb2FeReW at its relaxed geometry at the PBE level of DFT.

Structure (POSCAR):
```
Rb2FeReW
1.0
6.4787 0.0000 0.0000
0.0000 6.4787 0.0000
0.0000 0.0000 4.4429
Rb Fe Re W
2 1 1 1
direct
0.0000 0.5000 0.0000
0.5000 0.0000 0.0000
0.0000 0.0000 0.0000
0.5000 0.5000 0.5000
0.0000 0.0000 0.5000
```

## Properties
D(E_F) = 1.11 states/eV per atom
volume = 37.297 Å³/atom
energy relative to the elements = 2.585 eV per atom